Entry 1:
The following is a DFT calculation (GGA-PBE) of a geometry-optimized Rb2TaMnW structure.

abc: 6.8638 4.2106 6.8638
angles: 90.00 90.00 90.00
With the nearest neighbours (Å) after each atom.
Positions (direct):
Mn (0.0000, 0.5000, 0.0000)  2 W 2.11
Rb (0.5000, 0.0000, 0.0000)  2 W 3.43
Rb (0.0000, 0.0000, 0.5000)  2 W 3.43
Ta (0.5000, 0.5000, 0.5000)  8 Rb 4.03, 2 Ta 4.21
W (0.0000, 0.0000, 0.0000)  2 Mn 2.11

Output
* V: 198.37 Å³/f.u.
* formation enthalpy at 0 K: 2814 meV per atom
* total moment: 0.33 μB per cell
* symmetry: No. 123


Entry 2:
The following is a DFT calculation (GGA-PBE) of a geometry-optimized RbTa2MnZn structure.

abc: 4.6588 5.2003 4.6588
angles: 90.00 90.00 90.00
With the nearest neighbours (Å) after each atom.
Positions (direct):
Rb (0.5000, 0.5000, 0.5000)  4 Zn 3.29, 8 Ta 3.49
Mn (0.0000, 0.0000, 0.0000)  4 Ta 2.33, 2 Zn 2.60
Ta (0.0000, 0.0000, 0.5000)  2 Mn 2.33
Ta (0.5000, 0.0000, 0.0000)  2 Mn 2.33
Zn (0.0000, 0.5000, 0.0000)  2 Mn 2.60

Output
* V: 112.87 Å³/f.u.
* formation enthalpy at 0 K: 1103 meV per atom
* total moment: 0.00 μB per cell
* symmetry: No. 123


Entry 3:
The following is a DFT calculation (GGA-PBE) of a geometry-optimized RbTaMn2Zn structure.

abc: 4.3748 4.8994 4.3748
angles: 90.00 90.00 90.00
With the nearest neighbours (Å) after each atom.
Positions (direct):
Rb (0.0000, 0.0000, 0.0000)  4 Mn 2.19, 2 Zn 2.45
Mn (0.5000, 0.0000, 0.0000)  2 Rb 2.19
Mn (0.0000, 0.0000, 0.5000)  2 Rb 2.19
Ta (0.5000, 0.5000, 0.5000)  4 Zn 3.09, 8 Mn 3.28
Zn (0.0000, 0.5000, 0.0000)  2 Rb 2.45

Output
* V: 93.77 Å³/f.u.
* formation enthalpy at 0 K: 2841 meV per atom
* total moment: 0.22 μB per cell
* symmetry: No. 123


Entry 4:
The following is a DFT calculation (GGA-PBE) of a geometry-optimized Rb3Tb2MnTe6 structure.

abc: 7.6643 7.6643 8.9369
angles: 98.94 98.94 118.53
With the nearest neighbours (Å) after each atom.
Positions (direct):
Rb (0.1741, 0.8259, 0.5000)  6 Te 3.61-3.79
Rb (0.5000, 0.5000, 0.5000)  6 Te 3.64-3.66
Rb (0.8259, 0.1741, 0.5000)  6 Te 3.61-3.79
Te (0.9409, 0.6345, 0.8156)  1 Mn 2.81, 1 Tb 3.12
Te (0.3655, 0.0591, 0.1844)  1 Mn 2.81, 1 Tb 3.12
Te (0.7403, 0.7403, 0.2075)  2 Tb 3.07, 1 Mn 3.14
Te (0.6345, 0.9409, 0.8156)  1 Mn 2.81, 1 Tb 3.12
Te (0.0591, 0.3655, 0.1844)  1 Mn 2.81, 1 Tb 3.12
Te (0.2597, 0.2597, 0.7925)  2 Tb 3.07, 1 Mn 3.14
Mn (0.0000, 0.0000, 0.0000)  6 Te 2.81-3.14
Tb (0.6621, 0.3379, 0.0000)  6 Te 3.07-3.17
Tb (0.3379, 0.6621, 0.0000)  6 Te 3.07-3.17

Output
* V: 439.40 Å³/f.u.
* ΔE_f (raw): -100.8 kJ/mol of atoms
* total moment: 4.00 μB per cell
* symmetry: No. 12


Entry 5:
The following is a DFT calculation (GGA-PBE) of a geometry-optimized Rb2MnTc2 structure.

abc: 6.0878 6.0878 6.3300
angles: 90.00 90.00 90.00
With the nearest neighbours (Å) after each atom.
Positions (direct):
Tc (0.1399, 0.3601, 0.0000)  2 Mn 2.35, 1 Tc 2.41
Tc (0.6399, 0.1399, 0.0000)  2 Mn 2.35, 1 Tc 2.41
Tc (0.3601, 0.8601, 0.0000)  2 Mn 2.35, 1 Tc 2.41
Tc (0.8601, 0.6399, 0.0000)  2 Mn 2.35, 1 Tc 2.41
Rb (0.1870, 0.6870, 0.5000)  5 Rb 3.14-3.22, 2 Tc 3.50
Rb (0.3130, 0.1870, 0.5000)  5 Rb 3.14-3.22, 2 Tc 3.50
Rb (0.8130, 0.3130, 0.5000)  5 Rb 3.14-3.22, 2 Tc 3.50
Rb (0.6870, 0.8130, 0.5000)  5 Rb 3.14-3.22, 2 Tc 3.50
Mn (0.5000, 0.5000, 0.0000)  4 Tc 2.35
Mn (0.0000, 0.0000, 0.0000)  4 Tc 2.35

Output
* V: 117.30 Å³/f.u.
* formation enthalpy at 0 K: 1137 meV per atom
* total moment: 0.00 μB per cell
* symmetry: No. 127
* relative energy among the computed polymorphs: 0 meV per atom


Entry 6:
The following is a DFT calculation (GGA-PBE) of a geometry-optimized RbMnTc2 structure.

abc: 4.4982 4.4982 4.4982
angles: 60.00 60.00 60.00
With the nearest neighbours (Å) after each atom.
Positions (direct):
Tc (0.7500, 0.7500, 0.7500)  4 Mn 2.75, 4 Rb 2.75
Tc (0.2500, 0.2500, 0.2500)  4 Mn 2.75, 4 Rb 2.75
Mn (0.0000, 0.0000, 0.0000)  8 Tc 2.75
Rb (0.5000, 0.5000, 0.5000)  8 Tc 2.75

Output
* V: 64.36 Å³/f.u.
* formation enthalpy at 0 K: 1846 meV per atom
* total moment: 0.00 μB per cell
* symmetry: No. 225
* relative energy among the computed polymorphs: 177 meV per atom


Entry 7:
The following is a DFT calculation (GGA-PBE) of a geometry-optimized Rb2MnTc2 structure.

abc: 3.9588 3.9588 8.4826
angles: 76.51 76.51 90.00
With the nearest neighbours (Å) after each atom.
Positions (direct):
Rb (0.7500, 0.2500, 0.5000)  4 Rb 2.80
Rb (0.2500, 0.7500, 0.5000)  4 Rb 2.80
Tc (0.5646, 0.5646, 0.8707)  1 Tc 2.07
Tc (0.4354, 0.4354, 0.1293)  1 Tc 2.07
Mn (0.0000, 0.0000, 0.0000)  8 Tc 2.98

Output
* V: 125.49 Å³/f.u.
* formation enthalpy at 0 K: 2119 meV per atom
* total moment: 0.58 μB per cell
* symmetry: No. 139
* relative energy among the computed polymorphs: 982 meV per atom


Entry 8:
The following is a DFT calculation (GGA-PBE) of a geometry-optimized RbMn2Tc structure.

abc: 4.4652 4.4652 4.4652
angles: 60.00 60.00 60.00
With the nearest neighbours (Å) after each atom.
Positions (direct):
Tc (0.5000, 0.5000, 0.5000)  8 Mn 2.73
Mn (0.2500, 0.2500, 0.2500)  4 Tc 2.73, 4 Rb 2.73
Mn (0.7500, 0.7500, 0.7500)  4 Tc 2.73, 4 Rb 2.73
Rb (0.0000, 0.0000, 0.0000)  8 Mn 2.73

Output
* V: 62.95 Å³/f.u.
* formation enthalpy at 0 K: 1913 meV per atom
* total moment: 0.00 μB per cell
* symmetry: No. 225
* relative energy among the computed polymorphs: 610 meV per atom


Entry 9:
The following is a DFT calculation (GGA-PBE) of a geometry-optimized RbMnTc2 structure.

abc: 5.0778 5.0778 8.5783
angles: 72.78 72.78 90.00
With the nearest neighbours (Å) after each atom.
Positions (direct):
Tc (0.3750, 0.6249, 0.7500)  2 Mn 2.32, 2 Tc 2.54
Tc (0.3751, 0.1250, 0.2500)  2 Mn 2.32, 2 Tc 2.54
Tc (0.8750, 0.6251, 0.7500)  2 Mn 2.32, 2 Tc 2.54
Tc (0.3749, 0.6250, 0.2500)  2 Mn 2.32, 2 Tc 2.54
Rb (0.0000, 0.0000, 0.0000)  8 Tc 3.44, 4 Mn 3.59
Rb (0.7500, 0.2500, 0.5000)  8 Tc 3.44, 4 Mn 3.59
Mn (0.5000, 0.5000, 0.0000)  4 Tc 2.32
Mn (0.2500, 0.7500, 0.5000)  4 Tc 2.32

Output
* V: 100.44 Å³/f.u.
* formation enthalpy at 0 K: 1669 meV per atom
* total moment: 0.00 μB per cell
* symmetry: No. 141
* relative energy among the computed polymorphs: 0 meV per atom


Entry 10:
The following is a DFT calculation (GGA-PBE) of a geometry-optimized RbMn2Tc structure.

abc: 5.5345 5.5345 8.5897
angles: 71.21 71.21 90.00
With the nearest neighbours (Å) after each atom.
Positions (direct):
Rb (0.5000, 0.5000, 0.0000)  8 Mn 3.64, 4 Tc 3.91
Rb (0.2500, 0.7500, 0.5000)  8 Mn 3.64, 4 Tc 3.91
Mn (0.8750, 0.1250, 0.7500)  2 Tc 2.36
Mn (0.8750, 0.6250, 0.2500)  2 Tc 2.36
Mn (0.3750, 0.1250, 0.7500)  2 Tc 2.36
Mn (0.8750, 0.1250, 0.2500)  2 Tc 2.36
Tc (0.7500, 0.2500, 0.5000)  4 Mn 2.36
Tc (0.0000, 0.0000, 0.0000)  4 Mn 2.36

Output
* V: 117.11 Å³/f.u.
* formation enthalpy at 0 K: 1303 meV per atom
* total moment: 12.00 μB per cell
* symmetry: No. 141
* relative energy among the computed polymorphs: 0 meV per atom


Entry 11:
The following is a DFT calculation (GGA-PBE) of a geometry-optimized RbMnTlTc2 structure.

abc: 4.6307 5.3003 4.6307
angles: 90.00 90.00 90.00
With the nearest neighbours (Å) after each atom.
Positions (direct):
Tc (0.5000, 0.0000, 0.0000)  2 Mn 2.32
Tc (0.0000, 0.0000, 0.5000)  2 Mn 2.32
Mn (0.0000, 0.0000, 0.0000)  4 Tc 2.32
Tl (0.0000, 0.5000, 0.0000)  2 Mn 2.65
Rb (0.5000, 0.5000, 0.5000)  4 Tl 3.27, 8 Tc 3.52

Output
* V: 113.65 Å³/f.u.
* formation enthalpy at 0 K: 1238 meV per atom
* total moment: 2.86 μB per cell
* symmetry: No. 123


Entry 12:
The following is a DFT calculation (GGA-PBE) of a geometry-optimized Rb4MnTe4 structure.

abc: 7.5988 10.3053 10.3053
angles: 90.00 90.00 90.00
With the nearest neighbours (Å) after each atom.
Positions (direct):
Mn (0.5000, 0.5000, 0.5000)  4 Te 2.57
Mn (0.0000, 0.0000, 0.0000)  4 Te 2.57
Rb (0.6664, 0.9996, 0.7299)  6 Te 3.76-3.89, 1 Mn 3.76
Rb (0.8336, 0.5004, 0.7701)  6 Te 3.76-3.89, 1 Mn 3.76
Rb (0.3336, 0.7299, 0.0004)  6 Te 3.76-3.89, 1 Mn 3.76
Rb (0.1664, 0.2299, 0.5004)  6 Te 3.76-3.89, 1 Mn 3.76
Rb (0.1664, 0.7701, 0.4996)  6 Te 3.76-3.89, 1 Mn 3.76
Rb (0.8336, 0.4996, 0.2299)  6 Te 3.76-3.89, 1 Mn 3.76
Rb (0.6664, 0.0004, 0.2701)  6 Te 3.76-3.89, 1 Mn 3.76
Rb (0.3336, 0.2701, 0.9996)  6 Te 3.76-3.89, 1 Mn 3.76
Te (0.1729, 0.9996, 0.7857)  1 Mn 2.57
Te (0.3271, 0.4996, 0.2857)  1 Mn 2.57
Te (0.1729, 0.0004, 0.2143)  1 Mn 2.57
Te (0.8271, 0.7857, 0.0004)  1 Mn 2.57
Te (0.6729, 0.2857, 0.5004)  1 Mn 2.57
Te (0.6729, 0.7143, 0.4996)  1 Mn 2.57
Te (0.3271, 0.5004, 0.7143)  1 Mn 2.57
Te (0.8271, 0.2143, 0.9996)  1 Mn 2.57

Output
* V: 403.50 Å³/f.u.
* ΔE_f (raw): -72.3 kJ/mol of atoms
* total moment: 5.99 μB per cell
* symmetry: No. 137